Below is BaNaAcIn after structural relaxation, with properties calculated at the PBE-GGA level.

DFT formation energy = -14.06 kJ per mole of atoms

Unit cell a=8.514 b=8.514 c=8.514 alpha=90.00 beta=90.00 gamma=90.00
Fractional coordinates of all 16 atoms:
1 Ba 0.000 0.000 0.000
2 Ba 0.000 0.500 0.500
3 Ba 0.500 0.000 0.500
4 Ba 0.500 0.500 0.000
5 Na 0.250 0.250 0.250
6 Na 0.250 0.750 0.750
7 Na 0.750 0.250 0.750
8 Na 0.750 0.750 0.250
9 Ac 0.000 0.000 0.500
10 Ac 0.000 0.500 0.000
11 Ac 0.500 0.000 0.000
12 Ac 0.500 0.500 0.500
13 In 0.250 0.250 0.750
14 In 0.250 0.750 0.250
15 In 0.750 0.250 0.250
16 In 0.750 0.750 0.750

=====

Below is PSI2 after structural relaxation, with properties calculated at the PBE-GGA level.

ΔE_f (raw) = 0.772 eV/atom

Unit cell a=7.639 b=7.639 c=7.967 alpha=90.00 beta=90.00 gamma=90.00
Fractional coordinates of all 16 atoms:
1 P 0.000 0.000 0.000
2 P 0.000 0.500 0.250
3 P 0.500 0.000 0.750
4 P 0.500 0.500 0.500
5 S 0.000 0.000 0.500
6 S 0.000 0.500 0.750
7 S 0.500 0.000 0.250
8 S 0.500 0.500 0.000
9 I 0.230 0.250 0.125
10 I 0.250 0.730 0.375
11 I 0.250 0.770 0.875
12 I 0.270 0.250 0.625
13 I 0.730 0.750 0.625
14 I 0.750 0.230 0.875
15 I 0.750 0.270 0.375
16 I 0.770 0.750 0.125

=====

Below is Mo2H2Os after structural relaxation, with properties calculated at the PBE-GGA level.

E = -7.6354 eV per atom

Unit cell a=6.060 b=6.060 c=2.821 alpha=90.00 beta=90.00 gamma=90.00
Fractional coordinates of all 10 atoms:
1 Mo 0.147 0.353 0.000
2 Mo 0.353 0.853 0.000
3 Mo 0.647 0.147 0.000
4 Mo 0.853 0.647 0.000
5 H 0.158 0.658 0.500
6 H 0.342 0.158 0.500
7 H 0.658 0.842 0.500
8 H 0.842 0.342 0.500
9 Os 0.000 0.000 0.500
10 Os 0.500 0.500 0.500